LiTc2W: optimized geometry, PBE.

Values from the calculation:
- formation energy from the elements (eV/atom) = 0.37
- distance to the lowest polymorph of the same formula (meV per atom) = 204
- magnetization (μB per formula unit) = 0.00
- space group = No. 99

a b c (Å): 3.1738 3.1738 5.5947
angles (deg): 90.00 90.00 90.00
Closest atoms and distances in Å follow each position.
Sites, in units of the cell vectors:
Li1 0.0000 0.0000 0.0000  6 Tc 2.53-2.81, 4 W 2.62
Tc1 0.0000 0.0000 0.4977  4 W 2.67, 4 Tc 2.76, 2 Li 2.78-2.81
Tc2 0.5000 0.5000 0.2106  4 Li 2.53, 1 W 2.53, 4 Tc 2.76
W1 0.5000 0.5000 0.7575  5 Tc 2.53-2.67, 4 Li 2.62